Record 1
{"formula": "Tm9Fe10Ge10", "functional": "meta-GGA SCAN", "state": "single point on PBEsol structure", "cell": [[-2.624, 6.515, 6.861], [2.624, -6.515, 6.861], [2.624, 6.515, -6.861]], "species": ["Tm", "Tm", "Tm", "Tm", "Tm", "Tm", "Tm", "Tm", "Tm", "Fe", "Fe", "Fe", "Fe", "Fe", "Fe", "Fe", "Fe", "Fe", "Fe", "Ge", "Ge", "Ge", "Ge", "Ge", "Ge", "Ge", "Ge", "Ge", "Ge"], "frac_coords": [[0.000, 0.000, 0.000], [0.218, 0.365, 0.853], [0.278, 0.000, 0.278], [0.302, 0.802, 0.500], [0.488, 0.635, 0.853], [0.512, 0.365, 0.147], [0.698, 0.198, 0.500], [0.722, 0.000, 0.722], [0.782, 0.635, 0.147], [0.011, 0.411, 0.113], [0.011, 0.898, 0.601], [0.094, 0.594, 0.500], [0.297, 0.411, 0.399], [0.297, 0.898, 0.887], [0.703, 0.102, 0.113], [0.703, 0.589, 0.601], [0.906, 0.406, 0.500], [0.989, 0.102, 0.399], [0.989, 0.589, 0.887], [0.082, 0.794, 0.288], [0.170, 0.500, 0.670], [0.208, 0.208, 0.000], [0.493, 0.206, 0.288], [0.500, 0.247, 0.747], [0.500, 0.753, 0.253], [0.507, 0.794, 0.712], [0.792, 0.792, 0.000], [0.830, 0.500, 0.330], [0.918, 0.206, 0.712]], "vol_a3_per_cell": 469.1, "ef_ev_per_atom": -0.589, "sg": "Immm, No. 71"}



Record 2
{"formula": "TmFe2Ge2", "functional": "meta-GGA SCAN", "state": "single point on PBEsol structure", "cell": [[-1.952, 1.952, 4.958], [1.952, -1.952, 4.958], [1.952, 1.952, -4.958]], "species": ["Tm", "Fe", "Fe", "Ge", "Ge"], "frac_coords": [[0.000, 0.000, 0.000], [0.250, 0.750, 0.500], [0.750, 0.250, 0.500], [0.373, 0.373, 0.000], [0.627, 0.627, 0.000]], "vol_a3_per_cell": 75.5, "ef_ev_per_atom": -0.433, "sg": "I4/mmm, No. 139"}



Record 3
{"formula": "Tm3Fe4Ge4", "functional": "meta-GGA SCAN", "state": "single point on PBEsol structure", "cell": [[-2.029, 3.312, 6.547], [2.029, -3.312, 6.547], [2.029, 3.312, -6.547]], "species": ["Tm", "Tm", "Tm", "Fe", "Fe", "Fe", "Fe", "Ge", "Ge", "Ge", "Ge"], "frac_coords": [[0.000, 0.000, 0.000], [0.373, 0.873, 0.500], [0.627, 0.127, 0.500], [0.005, 0.322, 0.683], [0.360, 0.678, 0.683], [0.640, 0.322, 0.317], [0.995, 0.678, 0.317], [0.222, 0.222, 0.000], [0.303, 0.500, 0.803], [0.697, 0.500, 0.197], [0.778, 0.778, 0.000]], "vol_a3_per_cell": 175.9, "ef_ev_per_atom": -0.547, "sg": "Immm, No. 71"}



Record 4
{"formula": "FeGeW2", "functional": "meta-GGA SCAN", "state": "single point on PBEsol structure", "cell": [[0.000, 3.032, 3.032], [3.032, 0.000, 3.032], [3.032, 3.032, 0.000]], "species": ["Fe", "Ge", "W", "W"], "frac_coords": [[0.000, 0.000, 0.000], [0.500, 0.500, 0.500], [0.250, 0.250, 0.250], [0.750, 0.750, 0.750]], "vol_a3_per_cell": 55.8, "ef_ev_per_atom": 0.241, "sg": "Fm-3m, No. 225"}



Record 5
{"formula": "YFe2Ge2", "functional": "meta-GGA SCAN", "state": "single point on PBEsol structure", "cell": [[-1.978, 1.978, 4.918], [1.978, -1.978, 4.918], [1.978, 1.978, -4.918]], "species": ["Y", "Fe", "Fe", "Ge", "Ge"], "frac_coords": [[0.000, 0.000, 0.000], [0.250, 0.750, 0.500], [0.750, 0.250, 0.500], [0.369, 0.369, 0.000], [0.631, 0.631, 0.000]], "vol_a3_per_cell": 77.0, "ef_ev_per_atom": -0.457, "sg": "I4/mmm, No. 139"}



Record 6
{"formula": "YFe2Ge2", "functional": "meta-GGA SCAN", "state": "single point on PBEsol structure", "cell": [[-2.065, 2.065, 4.497], [2.065, -2.065, 4.497], [2.065, 2.065, -4.497]], "species": ["Y", "Fe", "Fe", "Ge", "Ge"], "frac_coords": [[0.000, 0.000, 0.000], [0.385, 0.385, 0.000], [0.615, 0.615, 0.000], [0.250, 0.750, 0.500], [0.750, 0.250, 0.500]], "vol_a3_per_cell": 76.7, "ef_ev_per_atom": -0.244, "sg": "I4/mmm, No. 139"}



Record 7
{"formula": "ZrFe6Ge6", "functional": "meta-GGA SCAN", "state": "single point on PBEsol structure", "cell": [[4.952, 0.000, 0.000], [-2.476, 4.289, 0.000], [0.000, 0.000, 7.924]], "species": ["Zr", "Fe", "Fe", "Fe", "Fe", "Fe", "Fe", "Ge", "Ge", "Ge", "Ge", "Ge", "Ge"], "frac_coords": [[0.000, 0.000, 0.000], [0.000, 0.500, 0.249], [0.000, 0.500, 0.751], [0.500, 0.000, 0.249], [0.500, 0.000, 0.751], [0.500, 0.500, 0.249], [0.500, 0.500, 0.751], [0.000, 0.000, 0.342], [0.000, 0.000, 0.658], [0.333, 0.667, 0.000], [0.333, 0.667, 0.500], [0.667, 0.333, 0.000], [0.667, 0.333, 0.500]], "vol_a3_per_cell": 168.3, "ef_ev_per_atom": -0.284, "sg": "P6/mmm, No. 191"}



Record 8
{"formula": "Zr2FeGe2", "functional": "meta-GGA SCAN", "state": "single point on PBEsol structure", "cell": [[6.272, 0.000, 0.000], [0.000, 6.272, 0.000], [0.000, 0.000, 4.164]], "species": ["Zr", "Zr", "Zr", "Zr", "Fe", "Fe", "Ge", "Ge", "Ge", "Ge"], "frac_coords": [[0.172, 0.328, 0.000], [0.328, 0.828, 0.000], [0.672, 0.172, 0.000], [0.828, 0.672, 0.000], [0.000, 0.000, 0.500], [0.500, 0.500, 0.500], [0.142, 0.642, 0.500], [0.358, 0.142, 0.500], [0.642, 0.858, 0.500], [0.858, 0.358, 0.500]], "vol_a3_per_cell": 163.8, "ef_ev_per_atom": -0.665, "sg": "P4/mbm, No. 127"}



Record 9
{"formula": "HfFeH3", "functional": "meta-GGA SCAN", "state": "single point on PBEsol structure", "cell": [[3.611, 0.000, 0.000], [0.000, 3.611, 0.000], [0.000, 0.000, 3.611]], "species": ["Hf", "Fe", "H", "H", "H"], "frac_coords": [[0.000, 0.000, 0.000], [0.500, 0.500, 0.500], [0.000, 0.000, 0.500], [0.000, 0.500, 0.000], [0.500, 0.000, 0.000]], "vol_a3_per_cell": 47.1, "sg": "Pm-3m, No. 221"}



Record 10
{"formula": "FeHg2H", "functional": "meta-GGA SCAN", "state": "single point on PBEsol structure", "cell": [[0.000, 3.132, 3.132], [3.132, 0.000, 3.132], [3.132, 3.132, 0.000]], "species": ["Fe", "Hg", "Hg", "H"], "frac_coords": [[0.000, 0.000, 0.000], [0.250, 0.250, 0.250], [0.750, 0.750, 0.750], [0.500, 0.500, 0.500]], "vol_a3_per_cell": 61.4, "sg": "Fm-3m, No. 225"}



Record 11
{"formula": "Ta2FeHgH", "functional": "meta-GGA SCAN", "state": "single point on PBEsol structure", "cell": [[4.444, 0.000, 0.000], [0.000, 4.444, 0.000], [0.000, 0.000, 4.871]], "species": ["Ta", "Ta", "Fe", "Hg", "H"], "frac_coords": [[0.000, 0.500, 0.000], [0.500, 0.000, 0.000], [0.000, 0.000, 0.000], [0.000, 0.000, 0.500], [0.500, 0.500, 0.500]], "vol_a3_per_cell": 96.2, "sg": "P4/mmm, No. 123"}



Record 12
{"formula": "FeHgTeH2", "functional": "meta-GGA SCAN", "state": "single point on PBEsol structure", "cell": [[3.924, 0.000, 0.000], [0.000, 3.924, 0.000], [0.000, 0.000, 5.124]], "species": ["Fe", "Hg", "Te", "H", "H"], "frac_coords": [[0.000, 0.000, 0.000], [0.500, 0.500, 0.500], [0.000, 0.000, 0.500], [0.000, 0.500, 0.000], [0.500, 0.000, 0.000]], "vol_a3_per_cell": 78.9, "sg": "P4/mmm, No. 123"}



Uncorrected energy list, top to bottom, in eV/atom: -29.508, -25.686, -28.216, -43.907, -20.913, -20.700, -19.823, -24.205, -17.989, -38.721, -43.150, -25.653
D(E_F) list, top to bottom, in states/eV/f.u.: 17.85, 2.53, 7.22, 2.15, 2.37, 3.30, 7.25, 2.70, 2.34, 1.94, 2.85, 2.81